Below is Zr2MnPt at its PBEsol-relaxed geometry, with properties calculated at the meta-GGA SCAN level.

Output
* symmetry: Fm-3m
* size of the total moment: 0.00 μB/cell
* offset from the most stable computed form: 0.067 eV/atom
* formation energy from the elements: -0.635 eV per atom

POSCAR file:
```
Zr2MnPt
1.0
-1.088 3.505 -2.719
-3.889 -0.088 -2.394
-3.441 2.784 1.130
Zr Pt Mn
2 1 1
Direct
0.250 0.250 0.250 Zr
0.750 0.750 0.750 Zr
0.500 0.500 0.500 Pt
0.000 0.000 0.000 Mn
```



Below is CaSiPt at its PBEsol-relaxed geometry, with properties calculated at the meta-GGA SCAN level.

Output
* symmetry: P2_13
* size of the total moment: 0.00 μB/cell
* formation energy without anion corrections: -1.1443 eV/atom

POSCAR file:
```
CaSiPt
1.0
-0.601 5.979 -1.919
-6.212 -0.284 1.058
0.917 1.990 5.915
Ca Pt Si
4 4 4
Direct
0.375 0.875 0.625 Ca
0.125 0.125 0.125 Ca
0.875 0.625 0.375 Ca
0.625 0.375 0.875 Ca
0.422 0.422 0.422 Pt
0.078 0.578 0.922 Pt
0.922 0.078 0.578 Pt
0.578 0.922 0.078 Pt
0.169 0.331 0.669 Si
0.831 0.831 0.831 Si
0.331 0.669 0.169 Si
0.669 0.169 0.331 Si
```



Below is BeNb2PdO at its PBEsol-relaxed geometry, with properties calculated at the meta-GGA SCAN level.

Output
* symmetry: P4/mmm
* size of the total moment: 0.00 μB/cell
* formation energy without anion corrections: -0.6694 eV/atom

POSCAR file:
```
BeNb2PdO
1.0
-0.380 2.797 -1.689
1.170 -2.085 -3.718
-4.232 -1.030 -0.754
Pd Nb O Be
1 2 1 1
Direct
0.500 0.500 0.500 Pd
0.000 0.000 0.500 Nb
0.000 0.500 0.000 Nb
0.000 0.000 0.000 O
0.500 0.000 0.000 Be
```



Below is Si2NiRh at its PBEsol-relaxed geometry, with properties calculated at the meta-GGA SCAN level.

Output
* symmetry: P4mm
* size of the total moment: 0.00 μB/cell
* formation energy without anion corrections: -0.6337 eV/atom

POSCAR file:
```
Si2NiRh
1.0
-1.554 -0.975 -2.582
1.516 -2.778 0.136
-3.571 -1.810 2.833
Si Ni Rh
2 1 1
Direct
0.500 0.500 0.288 Si
0.000 0.000 0.977 Si
0.000 0.000 0.447 Ni
0.500 0.500 0.787 Rh
```



Below is Si2TcSe at its PBEsol-relaxed geometry, with properties calculated at the meta-GGA SCAN level.

Output
* symmetry: P4/mmm
* size of the total moment: 0.00 μB/cell
* formation energy without anion corrections: 0.1672 eV/atom

POSCAR file:
```
Si2TcSe
1.0
-1.580 -0.492 -2.620
-0.778 -2.828 1.000
-5.077 2.325 2.625
Si Se Tc
2 1 1
Direct
0.000 0.000 0.212 Si
0.000 0.000 0.788 Si
0.500 0.500 0.500 Se
0.500 0.500 0.000 Tc
```



Below is CsZnHg3 at its PBEsol-relaxed geometry, with properties calculated at the meta-GGA SCAN level.

Output
* symmetry: Pm-3m
* size of the total moment: 0.00 μB/cell
* formation energy from the elements: -0.206 eV per atom

POSCAR file:
```
CsZnHg3
1.0
5.326 0.000 0.000
0.000 5.326 0.000
0.000 0.000 5.326
Hg Cs Zn
3 1 1
Direct
0.000 0.000 0.500 Hg
0.500 0.000 0.000 Hg
0.000 0.500 0.000 Hg
0.500 0.500 0.500 Cs
0.000 0.000 0.000 Zn
```



Below is Mg2CuMo at its PBEsol-relaxed geometry, with properties calculated at the meta-GGA SCAN level.

Output
* symmetry: Imm2
* size of the total moment: 0.00 μB/cell
* formation energy from the elements: 0.321 eV per atom

POSCAR file:
```
Mg2CuMo
1.0
-0.703 2.392 1.178
-3.139 0.808 -3.513
-1.564 -3.898 3.753
Mg Cu Mo
2 1 1
Direct
0.975 0.975 0.951 Mg
0.755 0.255 0.511 Mg
0.246 0.746 0.492 Cu
0.523 0.523 0.047 Mo
```



Below is As2CSeS at its PBEsol-relaxed geometry, with properties calculated at the meta-GGA SCAN level.

Output
* symmetry: P4/mmm
* size of the total moment: 0.31 μB/cell
* formation energy without anion corrections: 2.0858 eV/atom

POSCAR file:
```
As2CSeS
1.0
4.784 0.000 0.000
0.000 4.658 0.000
0.000 0.000 4.658
C As Se S
1 2 1 1
Direct
0.500 0.500 0.500 C
0.000 0.500 0.000 As
0.000 0.000 0.500 As
0.500 0.000 0.000 Se
0.000 0.000 0.000 S
```



Below is Ag2RuAu2 at its PBEsol-relaxed geometry, with properties calculated at the meta-GGA SCAN level.

Output
* symmetry: I4/mmm
* size of the total moment: 2.57 μB/cell
* formation energy from the elements: 0.588 eV per atom

POSCAR file:
```
Ag2RuAu2
1.0
-1.316 -1.137 3.178
2.017 -3.001 -0.238
4.768 5.251 1.788
Au Ru Ag
2 1 2
Direct
0.596 0.596 0.191 Au
0.404 0.404 0.809 Au
0.000 0.000 0.000 Ru
0.750 0.250 0.500 Ag
0.250 0.750 0.500 Ag
```



Below is Ni2TeOsW at its PBEsol-relaxed geometry, with properties calculated at the meta-GGA SCAN level.

Output
* symmetry: P4/mmm
* size of the total moment: 2.87 μB/cell
* formation energy without anion corrections: 2.0601 eV/atom

POSCAR file:
```
Ni2TeOsW
1.0
4.344 0.000 0.000
0.000 4.344 0.000
0.000 0.000 4.965
W Ni Te Os
1 2 1 1
Direct
0.000 0.000 0.500 W
0.000 0.500 0.000 Ni
0.500 0.000 0.000 Ni
0.000 0.000 0.000 Te
0.500 0.500 0.500 Os
```



Below is Zn3Au at its PBEsol-relaxed geometry, with properties calculated at the meta-GGA SCAN level.

Output
* symmetry: Pmmm
* size of the total moment: 0.00 μB/cell
* formation energy from the elements: -0.157 eV per atom

POSCAR file:
```
Zn3Au
1.0
-0.880 -1.892 -2.421
3.010 0.630 -1.586
2.196 -4.213 2.495
Zn Au
3 1
Direct
0.000 0.000 0.500 Zn
0.500 0.500 0.256 Zn
0.500 0.500 0.744 Zn
0.000 0.000 0.000 Au
```



Below is Nb2MoRu at its PBEsol-relaxed geometry, with properties calculated at the meta-GGA SCAN level.

Output
* symmetry: Fm-3m
* size of the total moment: 0.00 μB/cell
* formation energy from the elements: -0.292 eV per atom

POSCAR file:
```
Nb2MoRu
1.0
-3.148 -0.943 -3.049
1.132 -0.503 -4.309
-0.140 -4.060 -1.895
Mo Nb Ru
1 2 1
Direct
0.500 0.500 0.500 Mo
0.750 0.750 0.750 Nb
0.250 0.250 0.250 Nb
0.000 0.000 0.000 Ru
```



Below is La2YCd at its PBEsol-relaxed geometry, with properties calculated at the meta-GGA SCAN level.

Output
* symmetry: Cm
* size of the total moment: 0.00 μB/cell
* formation energy from the elements: -0.203 eV per atom

POSCAR file:
```
La2YCd
1.0
3.788 0.000 0.000
0.000 5.627 -0.003
-1.894 -2.761 5.676
Y La Cd
1 2 1
Direct
0.525 0.533 0.051 Y
0.751 0.245 0.503 La
0.980 0.989 0.961 La
0.243 0.733 0.486 Cd
```



Below is Y2ZrTa at its PBEsol-relaxed geometry, with properties calculated at the meta-GGA SCAN level.

Output
* symmetry: Amm2
* size of the total moment: 0.00 μB/cell
* formation energy from the elements: 0.249 eV per atom

POSCAR file:
```
Y2ZrTa
1.0
3.212 0.000 0.000
0.000 5.013 0.000
-1.606 0.000 6.075
Zr Ta Y
1 1 2
Direct
0.804 0.000 0.609 Zr
0.698 0.500 0.397 Ta
0.080 0.000 0.160 Y
0.427 0.500 0.854 Y
```



Below is SrTiInOs2 at its PBEsol-relaxed geometry, with properties calculated at the meta-GGA SCAN level.

Output
* symmetry: P4/mmm
* size of the total moment: 0.00 μB/cell
* formation energy from the elements: 0.772 eV per atom

POSCAR file:
```
SrTiInOs2
1.0
4.634 0.000 0.000
0.000 4.634 0.000
0.000 0.000 5.166
Os Sr In Ti
2 1 1 1
Direct
0.000 0.500 0.000 Os
0.500 0.000 0.000 Os
0.500 0.500 0.500 Sr
0.000 0.000 0.500 In
0.000 0.000 0.000 Ti
```



Below is TaIr2W at its PBEsol-relaxed geometry, with properties calculated at the meta-GGA SCAN level.

Output
* symmetry: Cmmm
* size of the total moment: 0.00 μB/cell
* offset from the most stable computed form: 0.006 eV/atom
* formation energy from the elements: -0.554 eV per atom

POSCAR file:
```
TaIr2W
1.0
2.792 0.000 0.000
0.000 4.783 -0.010
0.000 -1.523 4.534
Ir Ta W
2 1 1
Direct
0.000 0.000 0.500 Ir
0.000 0.500 0.000 Ir
0.500 0.000 0.000 Ta
0.500 0.500 0.500 W
```



Below is Zr2CdW at its PBEsol-relaxed geometry, with properties calculated at the meta-GGA SCAN level.

Output
* symmetry: I-4m2
* size of the total moment: 0.00 μB/cell
* formation energy from the elements: 0.205 eV per atom

POSCAR file:
```
Zr2CdW
1.0
4.177 0.000 0.000
0.000 4.177 0.000
-2.089 -2.089 4.418
W Zr Cd
1 2 1
Direct
0.250 0.750 0.500 W
0.000 0.000 0.000 Zr
0.750 0.250 0.500 Zr
0.500 0.500 0.000 Cd
```



Below is MnBeGeRu2 at its PBEsol-relaxed geometry, with properties calculated at the meta-GGA SCAN level.

Output
* symmetry: P4/mmm
* size of the total moment: 3.56 μB/cell
* formation energy from the elements: 0.287 eV per atom

POSCAR file:
```
MnBeGeRu2
1.0
-0.487 2.904 -2.526
-3.911 0.323 1.126
1.054 2.688 2.887
Ge Ru Mn Be
1 2 1 1
Direct
0.500 0.500 0.500 Ge
0.000 0.500 0.000 Ru
0.000 0.000 0.500 Ru
0.500 0.000 0.000 Mn
0.000 0.000 0.000 Be
```



Below is Sr3Sc2Cu2S2O5 at its PBEsol-relaxed geometry, with properties calculated at the meta-GGA SCAN level.

Output
* symmetry: I4/mmm
* size of the total moment: 0.00 μB/cell
* formation energy without anion corrections: -2.6622 eV/atom

POSCAR file:
```
Sr3Sc2Cu2S2O5
1.0
-0.663 0.808 3.909
-3.193 -2.485 -0.028
9.504 -8.933 1.366
Cu Sc Sr O S
2 2 3 5 2
Direct
0.250 0.750 0.500 Cu
0.750 0.250 0.500 Cu
0.077 0.077 0.154 Sc
0.923 0.923 0.846 Sc
0.646 0.646 0.291 Sr
0.500 0.500 0.000 Sr
0.354 0.354 0.709 Sr
0.413 0.913 0.825 O
0.587 0.087 0.175 O
0.000 0.000 0.000 O
0.913 0.413 0.825 O
0.087 0.587 0.175 O
0.199 0.199 0.399 S
0.801 0.801 0.601 S
```



Below is K2MgW at its PBEsol-relaxed geometry, with properties calculated at the meta-GGA SCAN level.

Output
* symmetry: Cmmm
* size of the total moment: 0.08 μB/cell
* formation energy from the elements: 1.188 eV per atom

POSCAR file:
```
K2MgW
1.0
2.916 -0.020 0.000
-1.137 2.685 0.000
0.000 0.000 12.656
W K Mg
1 2 1
Direct
0.500 0.500 0.000 W
0.000 0.000 0.235 K
0.000 0.000 0.765 K
0.500 0.500 0.500 Mg
```



Below is Cs2TlAsCl6 at its PBEsol-relaxed geometry, with properties calculated at the meta-GGA SCAN level.

Output
* symmetry: Fm-3m
* size of the total moment: 0.00 μB/cell
* formation energy without anion corrections: -1.4607 eV/atom

POSCAR file:
```
Cs2TlAsCl6
1.0
7.661 0.000 0.000
3.831 6.635 0.000
3.831 2.212 6.256
Cl Tl Cs As
6 1 2 1
Direct
0.771 0.229 0.771 Cl
0.229 0.771 0.229 Cl
0.229 0.771 0.771 Cl
0.229 0.229 0.771 Cl
0.771 0.771 0.229 Cl
0.771 0.229 0.229 Cl
0.500 0.500 0.500 Tl
0.750 0.750 0.750 Cs
0.250 0.250 0.250 Cs
0.000 0.000 0.000 As
```



Below is BeCdCu2 at its PBEsol-relaxed geometry, with properties calculated at the meta-GGA SCAN level.

Output
* symmetry: F-43m
* size of the total moment: 0.00 μB/cell
* offset from the most stable computed form: 0.176 eV/atom
* formation energy from the elements: 0.129 eV per atom

POSCAR file:
```
BeCdCu2
1.0
-0.197 4.134 -0.305
-0.394 1.790 -3.723
-3.570 1.835 -1.053
Cu Cd Be
2 1 1
Direct
0.000 0.000 0.000 Cu
0.750 0.750 0.750 Cu
0.250 0.250 0.250 Cd
0.500 0.500 0.500 Be
```



Below is BaYCrSn2 at its PBEsol-relaxed geometry, with properties calculated at the meta-GGA SCAN level.

Output
* symmetry: P4/mmm
* size of the total moment: 2.98 μB/cell
* formation energy from the elements: 0.200 eV per atom

POSCAR file:
```
BaYCrSn2
1.0
-3.899 3.331 0.772
-0.478 -1.690 4.879
3.407 3.620 1.588
Sn Y Cr Ba
2 1 1 1
Direct
0.500 0.000 0.000 Sn
0.000 0.500 0.000 Sn
0.500 0.500 0.500 Y
0.000 0.000 0.000 Cr
0.000 0.000 0.500 Ba
```



Below is MgCoAg2 at its PBEsol-relaxed geometry, with properties calculated at the meta-GGA SCAN level.

Output
* symmetry: I4/mmm
* size of the total moment: 1.77 μB/cell
* formation energy from the elements: 0.043 eV per atom

POSCAR file:
```
MgCoAg2
1.0
-1.095 -3.380 1.851
2.309 0.969 3.135
-3.543 3.031 -0.895
Ag Mg Co
2 1 1
Direct
0.750 0.750 0.500 Ag
0.250 0.250 0.500 Ag
0.000 0.500 0.000 Mg
0.500 0.000 0.000 Co
```



Below is AgPt2 at its PBEsol-relaxed geometry, with properties calculated at the meta-GGA SCAN level.

Output
* symmetry: P6_3/mmc
* size of the total moment: 0.00 μB/cell
* offset from the most stable computed form: 0.290 eV/atom
* formation energy from the elements: 0.288 eV per atom

POSCAR file:
```
AgPt2
1.0
4.509 0.000 0.000
-2.254 3.905 0.000
0.000 0.000 5.335
Pt Ag
4 2
Direct
0.333 0.667 0.750 Pt
0.000 0.000 0.000 Pt
0.000 0.000 0.500 Pt
0.667 0.333 0.250 Pt
0.667 0.333 0.750 Ag
0.333 0.667 0.250 Ag
```



Below is K3BaAu at its PBEsol-relaxed geometry, with properties calculated at the meta-GGA SCAN level.

Output
* symmetry: Pm-3m
* size of the total moment: 2.02 μB/cell
* formation energy from the elements: 0.798 eV per atom

POSCAR file:
```
K3BaAu
1.0
-4.418 5.315 3.930
1.493 -3.802 6.821
6.439 4.528 1.115
Au K Ba
1 3 1
Direct
0.500 0.500 0.500 Au
0.500 0.000 0.000 K
0.000 0.000 0.500 K
0.000 0.500 0.000 K
0.000 0.000 0.000 Ba
```



Below is PtWCl at its PBEsol-relaxed geometry, with properties calculated at the meta-GGA SCAN level.

Output
* symmetry: F-43m
* size of the total moment: 0.00 μB/cell
* offset from the most stable computed form: 0.491 eV/atom
* formation energy without anion corrections: 0.6140 eV/atom

POSCAR file:
```
PtWCl
1.0
-4.191 0.092 0.446
-1.791 -1.657 3.438
-1.758 2.522 2.884
Pt Cl W
1 1 1
Direct
0.500 0.500 0.500 Pt
0.000 0.000 0.000 Cl
0.750 0.750 0.750 W
```



Below is SrCuRu2 at its PBEsol-relaxed geometry, with properties calculated at the meta-GGA SCAN level.

Output
* symmetry: C2/m
* size of the total moment: 0.00 μB/cell
* offset from the most stable computed form: 0.699 eV/atom
* formation energy from the elements: 0.804 eV per atom

POSCAR file:
```
SrCuRu2
1.0
2.806 -0.002 0.000
-0.345 4.788 0.000
-1.231 -2.393 4.841
Sr Cu Ru
1 1 2
Direct
0.500 0.000 0.000 Sr
0.000 0.500 0.000 Cu
0.500 0.500 0.500 Ru
0.000 0.000 0.500 Ru
```



Below is InCuIr2 at its PBEsol-relaxed geometry, with properties calculated at the meta-GGA SCAN level.

Output
* symmetry: P4mm
* size of the total moment: 0.00 μB/cell
* formation energy from the elements: 0.181 eV per atom

POSCAR file:
```
InCuIr2
1.0
-1.393 -1.541 -1.892
1.237 -2.324 0.982
-5.631 -0.926 4.900
Ir Cu In
2 1 1
Direct
0.000 0.000 0.016 Ir
0.500 0.500 0.254 Ir
0.000 0.000 0.485 Cu
0.500 0.500 0.744 In
```